(1)
The following is a GGA-PBE calculation of crystalline Na2SbO3 at its relaxed geometry, from Alexandria via LeMat-Bulk.

## Properties
V = 13.926 A^3/atom
Crystal system = orthorhombic
Total moment = 0.0 μB/f.u.
ΔE_f (raw) = -1436 meV per atom

Lattice parameters (Å, degrees): 3.3807 4.4984 5.9368 112.26 90.00 90.00
Last column: nearest neighbours and their distance in Å.
Sites, in units of the cell vectors:
O: 0.5000 0.1259 0.2518  2 Sb 2.18, 3 Na 2.27-2.40
Sb: 0.0000 0.0000 0.0000  6 O 2.18-2.25
Na: 0.5000 0.6557 0.3113  5 O 2.27-2.40
O: 0.5000 0.8741 0.7482  2 Sb 2.18, 3 Na 2.27-2.40
Na: 0.5000 0.3443 0.6887  5 O 2.27-2.40
O: 0.0000 0.5000 0.0000  2 Sb 2.25, 4 Na 2.40



(2)
The following is a GGA-PBE calculation of crystalline NaLiEuSn at its relaxed geometry, from Alexandria via LeMat-Bulk.

## Properties
V = 26.769 A^3/atom
Crystal system = cubic
Total moment = 7.0 μB/f.u.
E = -4.7253 eV per atom

Lattice parameters (Å, degrees): 5.3301 5.3301 5.3301 60.00 60.00 60.00
Last column: nearest neighbours and their distance in Å.
Sites, in units of the cell vectors:
Sn: 0.2500 0.2500 0.2500  4 Li 3.26, 4 Eu 3.26
Li: 0.0000 0.0000 0.0000  4 Sn 3.26, 4 Na 3.26
Eu: 0.5000 0.5000 0.5000  4 Sn 3.26, 4 Na 3.26
Na: 0.7500 0.7500 0.7500  4 Li 3.26, 4 Eu 3.26



(3)
The following is a GGA-PBE calculation of crystalline BeRhBr at its relaxed geometry, from Alexandria via LeMat-Bulk.

## Properties
V = 17.890 A^3/atom
Crystal system = triclinic
E above lowest polymorph = 0.1348 eV/atom
Total moment = 0.0 μB/f.u.
ΔE_f (raw) = -294 meV per atom

Lattice parameters (Å, degrees): 3.5842 3.1434 9.8758 79.05 79.50 90.00
Last column: nearest neighbours and their distance in Å.
Sites, in units of the cell vectors:
Be: 0.2859 0.5706 0.3666  2 Be 2.26, 6 Rh 2.35-2.43
Br: 0.9336 0.2315 0.0726  1 Rh 2.44
Be: 0.7129 0.4806 0.5107  2 Be 2.26, 6 Rh 2.33-2.44, 1 Br 2.47
Rh: 0.1927 0.9682 0.5520  6 Be 2.35-2.44, 2 Br 2.53
Br: 0.6001 0.9601 0.7366  1 Be 2.47, 2 Rh 2.53
Rh: 0.8047 0.0854 0.3289  6 Be 2.33-2.43, 1 Br 2.44



(4)
The following is a GGA-PBE calculation of crystalline BaEuHoMg at its relaxed geometry, from Alexandria via LeMat-Bulk.

## Properties
V = 37.040 A^3/atom
Crystal system = cubic
Total moment = 7.6 μB/f.u.
E = -4.4307 eV per atom

Lattice parameters (Å, degrees): 5.9395 5.9395 5.9395 60.00 60.00 60.00
Last column: nearest neighbours and their distance in Å.
Sites, in units of the cell vectors:
Ho: 0.0000 0.0000 0.0000  4 Mg 3.64, 4 Eu 3.64
Ba: 0.5000 0.5000 0.5000  4 Eu 3.64, 4 Mg 3.64
Eu: 0.2500 0.2500 0.2500  4 Ho 3.64, 4 Ba 3.64
Mg: 0.7500 0.7500 0.7500  4 Ba 3.64, 4 Ho 3.64



(5)
The following is a GGA-PBE calculation of crystalline Ba2MgSe at its relaxed geometry, from Alexandria via LeMat-Bulk.

## Properties
V = 42.410 A^3/atom
Crystal system = orthorhombic
E above lowest polymorph = 0.2317 eV/atom
Total moment = 0.0 μB/f.u.
ΔE_f (raw) = -647 meV per atom

Lattice parameters (Å, degrees): 6.6899 6.6899 6.6899 137.73 120.23 75.90
Last column: nearest neighbours and their distance in Å.
Sites, in units of the cell vectors:
Mg: 0.7500 0.2500 0.5000  8 Ba 3.93-3.98, 4 Se 4.11
Ba: 0.0445 0.0445 0.0000  2 Se 3.24
Ba: 0.4555 0.4555 0.0000  2 Se 3.24
Se: 0.2500 0.7500 0.5000  4 Ba 3.24



(6)
The following is a GGA-PBE calculation of crystalline Si2HgPt2 at its relaxed geometry, from Alexandria via LeMat-Bulk.

## Properties
V = 17.586 A^3/atom
Crystal system = tetragonal
E above lowest polymorph = 0.0311 eV/atom
Total moment = 0.0 μB/f.u.
ΔE_f (raw) = -303 meV per atom

Lattice parameters (Å, degrees): 4.3496 4.3496 5.5733 67.03 67.03 90.00
Last column: nearest neighbours and their distance in Å.
Sites, in units of the cell vectors:
Si: 0.3734 0.3734 0.2533  1 Si 2.35, 4 Pt 2.46
Hg: 0.0000 0.0000 0.0000  8 Pt 3.18, 10 Si 3.29-3.47
Pt: 0.2500 0.7500 0.5000  4 Si 2.46
Si: 0.6266 0.6266 0.7467  1 Si 2.35, 4 Pt 2.46
Pt: 0.7500 0.2500 0.5000  4 Si 2.46



(7)
The following is a GGA-PBE calculation of crystalline CaLaHg2 at its relaxed geometry, from Alexandria via LeMat-Bulk.

## Properties
V = 31.930 A^3/atom
Crystal system = trigonal
E above lowest polymorph = 0.1849 eV/atom
Total moment = 0.0 μB/f.u.

Lattice parameters (Å, degrees): 4.0724 4.0724 9.1979 77.21 77.21 60.00
Last column: nearest neighbours and their distance in Å.
Sites, in units of the cell vectors:
La: 0.6667 0.6667 0.9999  6 Hg 3.27-3.28
Hg: 0.2480 0.2480 0.2561  3 Ca 3.20, 3 La 3.27
Hg: 0.0855 0.0855 0.7434  3 Ca 3.19, 3 La 3.28
Ca: 0.4998 0.4998 0.5005  6 Hg 3.19-3.20



(8)
The following is a GGA-PBE calculation of crystalline LiNdTmRe at its relaxed geometry, from Alexandria via LeMat-Bulk.

## Properties
V = 21.618 A^3/atom
Crystal system = cubic
Total moment = 0.0 μB/f.u.
E = -5.7839 eV per atom

Lattice parameters (Å, degrees): 4.9636 4.9636 4.9636 60.00 60.00 60.00
Last column: nearest neighbours and their distance in Å.
Sites, in units of the cell vectors:
Re: 0.5000 0.5000 0.5000  4 Nd 3.04, 4 Tm 3.04
Nd: 0.7500 0.7500 0.7500  4 Li 3.04, 4 Re 3.04
Tm: 0.2500 0.2500 0.2500  4 Re 3.04, 4 Li 3.04
Li: 0.0000 0.0000 0.0000  4 Nd 3.04, 4 Tm 3.04